(1)
Rb2NaWSe6 after structural relaxation, computed with PBE-GGA.

The structure in POSCAR format:
```
Rb2NaWSe6
1.0
4.9578 3.7471 4.2265
-2.3494 3.9035 5.9773
1.6096 -2.4130 6.9334
Na Rb Se W
1 2 6 1
Direct
0.5000 0.5000 0.5000
0.2500 0.2500 0.2500
0.7500 0.7500 0.7500
0.7653 0.7653 0.2347
0.7653 0.2347 0.2347
0.2347 0.7653 0.2347
0.7653 0.2347 0.7653
0.2347 0.2347 0.7653
0.2347 0.7653 0.7653
0.0000 0.0000 0.0000
```

## Properties
SG: Fm-3m (225)
Magnetic moment, μB/atom: 0.00
VASP energy, eV per atom: -4.16



(2)
LiScGaNi after structural relaxation, computed with PBE-GGA.

The structure in POSCAR format:
```
LiScGaNi
1.0
0.6243 1.0115 4.2687
-0.8456 4.1002 1.4519
-3.4853 0.7430 2.6335
Ga Li Ni Sc
1 1 1 1
Direct
0.2500 0.2500 0.2500
0.5000 0.5000 0.5000
0.7500 0.7500 0.7500
0.0000 0.0000 0.0000
```

## Properties
SG: F-43m (216)
Magnetic moment, μB/atom: 0.00
VASP energy, eV per atom: -4.53
Excess energy over the best structure of this formula in the dataset, eV per atom: 0.158



(3)
LiBIr after structural relaxation, computed with PBE-GGA.

The structure in POSCAR format:
```
LiBIr
1.0
7.0659 0.0000 0.0000
0.0000 3.5765 0.0000
0.0000 0.0000 5.3923
B Ir Li
4 4 4
Direct
0.8432 0.7500 0.1323
0.3432 0.7500 0.3677
0.6568 0.2500 0.6323
0.1568 0.2500 0.8677
0.1473 0.7500 0.0819
0.6473 0.7500 0.4181
0.3527 0.2500 0.5819
0.8527 0.2500 0.9181
0.4337 0.2500 0.1109
0.9337 0.2500 0.3891
0.0663 0.7500 0.6109
0.5663 0.7500 0.8891
```

## Properties
SG: Pnma (62)
Magnetic moment, μB/atom: 0.00
VASP energy, eV per atom: -6.19
Excess energy over the best structure of this formula in the dataset, eV per atom: 0.000



(4)
TlIr15 after structural relaxation, computed with PBE-GGA.

The structure in POSCAR format:
```
TlIr15
1.0
-0.4926 3.1805 4.4067
0.7117 -2.1161 1.6068
42.6974 11.6162 -3.6154
Ir Tl
30 2
Direct
0.6251 0.5000 0.1765
0.3711 0.0000 0.2170
0.8787 0.0000 0.2171
0.1250 0.5000 0.2600
0.6250 0.5000 0.2605
0.8737 0.0000 0.3039
0.3763 0.0000 0.3039
0.1250 0.5000 0.3475
0.6250 0.5000 0.3478
0.8749 0.0000 0.3912
0.3751 0.0000 0.3912
0.1249 0.5000 0.4347
0.6251 0.5000 0.4347
0.3751 0.0000 0.4782
0.8750 0.0000 0.4782
0.1250 0.5000 0.5218
0.6249 0.5000 0.5218
0.3749 0.0000 0.5653
0.8751 0.0000 0.5653
0.6249 0.5000 0.6088
0.1251 0.5000 0.6088
0.3750 0.0000 0.6522
0.8750 0.0000 0.6525
0.6237 0.5000 0.6961
0.1263 0.5000 0.6961
0.3750 0.0000 0.7395
0.8750 0.0000 0.7400
0.1213 0.5000 0.7829
0.6288 0.5000 0.7829
0.3749 0.0000 0.8235
0.1251 0.5000 0.1556
0.8749 0.0000 0.8444
```

## Properties
SG: P2_1/m (11)
Magnetic moment, μB/atom: 0.00
VASP energy, eV per atom: -8.33
Excess energy over the best structure of this formula in the dataset, eV per atom: 0.019



(5)
SmAl2Ir2 after structural relaxation, computed with PBE-GGA.

The structure in POSCAR format:
```
SmAl2Ir2
1.0
1.0945 -6.1117 -1.5924
-1.7085 -5.2359 3.2791
-2.1631 5.5982 -2.2511
Al Ir Sm
2 2 1
Direct
0.7500 0.2500 0.5000
0.2500 0.7500 0.5000
0.3838 0.3838 0.0000
0.6162 0.6162 0.0000
0.0000 0.0000 0.0000
```

## Properties
SG: I4/mmm (139)
Magnetic moment, μB/atom: 0.00
VASP energy, eV per atom: -6.84
Excess energy over the best structure of this formula in the dataset, eV per atom: 0.035



(6)
Sc2CoC after structural relaxation, computed with PBE-GGA.

The structure in POSCAR format:
```
Sc2CoC
1.0
4.8925 -2.8237 0.0000
4.8925 2.8237 0.0000
-3.3018 0.0000 13.1719
C Co Sc
6 6 12
Direct
0.6610 0.1777 0.0000
0.0000 0.5000 0.0000
0.3390 0.8223 0.0000
0.8223 0.3390 0.5000
0.5000 0.0000 0.5000
0.1777 0.6610 0.5000
0.4166 0.0862 0.2498
0.9106 0.0894 0.2500
0.9138 0.5834 0.2502
0.0862 0.4166 0.7498
0.0894 0.9106 0.7500
0.5834 0.9138 0.7502
0.0294 0.1990 0.0911
0.6977 0.8626 0.0912
0.3706 0.5350 0.1033
0.4650 0.6294 0.3967
0.1374 0.3023 0.4088
0.8010 0.9706 0.4089
0.1990 0.0294 0.5911
0.8626 0.6977 0.5912
0.5350 0.3706 0.6033
0.6294 0.4650 0.8967
0.3023 0.1374 0.9088
0.9706 0.8010 0.9089
```

## Properties
SG: C2/c (15)
Magnetic moment, μB/atom: 0.17
VASP energy, eV per atom: -7.47



(7)
AlTc after structural relaxation, computed with PBE-GGA.

The structure in POSCAR format:
```
AlTc
1.0
2.8437 0.0000 0.0000
-1.4219 2.4627 0.0000
0.0000 0.0000 4.1775
Al Tc
1 1
Direct
0.6667 0.3333 0.7500
0.3333 0.6667 0.2500
```

## Properties
SG: P-6m2 (187)
Magnetic moment, μB/atom: 0.00
VASP energy, eV per atom: -7.30
Excess energy over the best structure of this formula in the dataset, eV per atom: 0.163



(8)
Sr2Zn2SnGe after structural relaxation, computed with PBE-GGA.

The structure in POSCAR format:
```
Sr2Zn2SnGe
1.0
4.5282 0.0000 0.0000
-2.2641 3.9215 0.0000
0.0000 0.0000 9.0616
Ge Sn Sr Zn
1 1 2 2
Direct
0.3333 0.6667 0.5000
0.0000 0.0000 0.0000
0.6667 0.3333 0.2580
0.6667 0.3333 0.7420
0.3333 0.6667 0.0000
0.0000 0.0000 0.5000
```

## Properties
SG: P-6m2 (187)
VASP energy, eV per atom: -2.94



(9)
GdYFe2Sn after structural relaxation, computed with PBE-GGA.

The structure in POSCAR format:
```
GdYFe2Sn
1.0
3.8392 0.0000 0.0000
0.0000 1.9461 6.9866
0.0000 -1.9461 6.9866
Fe Gd Sn Y
2 1 1 1
Direct
0.0000 0.2040 0.2040
0.0000 0.7963 0.7963
0.5000 0.3653 0.3653
0.0000 0.0007 0.0007
0.5000 0.6338 0.6338
```

## Properties
SG: Amm2 (38)
Magnetic moment, μB/atom: 0.61
VASP energy, eV per atom: -6.63



(10)
Sm2I after structural relaxation, computed with PBE-GGA.

The structure in POSCAR format:
```
Sm2I
1.0
4.8283 2.7876 7.8845
-4.8283 2.7876 7.8845
0.0000 -5.5752 7.8845
I Sm
2 4
Direct
0.2500 0.2500 0.2500
0.5000 0.5000 0.5000
0.8750 0.3750 0.3750
0.3750 0.8750 0.3750
0.3750 0.3750 0.3750
0.3750 0.3750 0.8750
```

## Properties
SG: Fd-3m (227)
Magnetic moment, μB/atom: 1.66
VASP energy, eV per atom: -2.34
Excess energy over the best structure of this formula in the dataset, eV per atom: 1.206



(11)
YHoAg4 after structural relaxation, computed with PBE-GGA.

The structure in POSCAR format:
```
YHoAg4
1.0
4.9680 -1.8471 0.0000
4.9680 1.8471 0.0000
-2.8096 0.0000 6.9202
Ag Ho Y
4 1 1
Direct
0.3303 0.3303 0.1628
0.6692 0.6692 0.3323
0.3308 0.3308 0.6677
0.6697 0.6697 0.8372
0.0000 0.0000 0.0000
0.0000 0.0000 0.5000
```

## Properties
SG: C2/m (12)
Magnetic moment, μB/atom: 0.00
ΔE_f, eV per atom: -0.33
VASP energy, eV per atom: -4.06
Excess energy over the best structure of this formula in the dataset, eV per atom: 0.001



(12)
LuZnPt after structural relaxation, computed with PBE-GGA.

The structure in POSCAR format:
```
LuZnPt
1.0
-4.2947 -1.2488 0.5997
-2.8630 0.0178 -3.4880
-1.4781 -3.8988 -1.7258
Lu Pt Zn
1 1 1
Direct
0.2500 0.2500 0.2500
0.0000 0.0000 0.0000
0.7500 0.7500 0.7500
```

## Properties
SG: F-43m (216)
Magnetic moment, μB/atom: 0.00
ΔE_f, eV per atom: -0.85
VASP energy, eV per atom: -4.79



(13)
Dy3Er3Te2Os after structural relaxation, computed with PBE-GGA.

The structure in POSCAR format:
```
Dy3Er3Te2Os
1.0
-7.3878 3.3299 -1.5684
0.5762 -6.6919 4.7972
0.3754 2.3662 3.2556
Dy Er Os Te
3 3 1 2
Direct
0.6120 0.0000 0.0000
0.3880 0.3880 0.0000
0.0000 0.6120 0.0000
0.2395 0.0000 0.5000
0.0000 0.2395 0.5000
0.7605 0.7605 0.5000
0.0000 0.0000 0.0000
0.6667 0.3333 0.5000
0.3333 0.6667 0.5000
```

## Properties
SG: P-62m (189)
Magnetic moment, μB/atom: 0.00
VASP energy, eV per atom: -5.73
Excess energy over the best structure of this formula in the dataset, eV per atom: 0.000



(14)
PuGe3 after structural relaxation, computed with PBE-GGA.

The structure in POSCAR format:
```
PuGe3
1.0
4.2659 0.0000 0.0000
0.0000 4.2659 0.0000
0.0000 0.0000 4.2659
Ge Pu
3 1
Direct
0.5000 0.5000 0.0000
0.5000 0.0000 0.5000
0.0000 0.5000 0.5000
0.0000 0.0000 0.0000
```

## Properties
SG: Pm-3m (221)
Magnetic moment, μB/atom: 1.25
VASP energy, eV per atom: -7.42



(15)
TaCd2In after structural relaxation, computed with PBE-GGA.

The structure in POSCAR format:
```
TaCd2In
1.0
0.0000 3.4688 3.4688
3.4688 0.0000 3.4688
3.4688 3.4688 0.0000
Cd In Ta
2 1 1
Direct
0.0000 0.0000 0.0000
0.7500 0.7500 0.7500
0.5000 0.5000 0.5000
0.2500 0.2500 0.2500
```

## Properties
SG: F-43m (216)
Magnetic moment, μB/atom: 0.46
VASP energy, eV per atom: -3.53



(16)
LaErGa2 after structural relaxation, computed with PBE-GGA.

The structure in POSCAR format:
```
LaErGa2
1.0
4.1458 0.0000 0.0000
0.0000 2.2133 5.5984
0.0000 -2.2133 5.5984
Er Ga La
1 2 1
Direct
0.0000 0.6347 0.6347
0.5000 0.0764 0.0764
0.0000 0.9318 0.9318
0.5000 0.3571 0.3571
```

## Properties
SG: Amm2 (38)
Magnetic moment, μB/atom: 0.00
VASP energy, eV per atom: -4.48



(17)
RbSmCdO3 after structural relaxation, computed with PBE-GGA.

The structure in POSCAR format:
```
RbSmCdO3
1.0
-4.6973 -5.0640 0.4046
-1.8126 -6.2502 2.3499
-3.5810 3.9378 7.7115
Cd O Rb Sm
2 6 2 2
Direct
0.4127 0.4127 0.2500
0.5873 0.5873 0.7500
0.3887 0.3887 0.0287
0.0248 0.0248 0.2500
0.3887 0.3887 0.4713
0.6113 0.6113 0.5287
0.9752 0.9752 0.7500
0.6113 0.6113 0.9713
0.6934 0.6934 0.2500
0.3066 0.3066 0.7500
0.0000 0.0000 0.0000
0.0000 0.0000 0.5000
```

## Properties
SG: Cmcm (63)
Magnetic moment, μB/atom: 0.00
VASP energy, eV per atom: -5.54



(18)
KLu after structural relaxation, computed with PBE-GGA.

The structure in POSCAR format:
```
KLu
1.0
4.7772 -2.2804 3.1627
3.9116 3.8172 2.8553
0.0549 0.3183 6.1580
K Lu
1 1
Direct
0.0000 0.0000 0.0000
0.2500 0.2500 0.2500
```

## Properties
SG: F-43m (216)
Magnetic moment, μB/atom: 0.96
VASP energy, eV per atom: -1.00



(19)
Nb2Bi2Br3 after structural relaxation, computed with PBE-GGA.

The structure in POSCAR format:
```
Nb2Bi2Br3
1.0
5.2021 14.3336 -2.7255
-8.1120 -12.8063 3.1840
0.6956 0.3593 3.2175
Bi Br Nb
2 3 2
Direct
0.5759 0.4241 0.0000
0.4241 0.5759 0.0000
0.0000 0.0000 0.5000
0.8338 0.1662 0.5000
0.1662 0.8338 0.5000
0.7153 0.2847 0.0000
0.2847 0.7153 0.0000
```

## Properties
SG: Cmmm (65)
Magnetic moment, μB/atom: 0.00
VASP energy, eV per atom: -4.63



(20)
DyTmTlC after structural relaxation, computed with PBE-GGA.

The structure in POSCAR format:
```
DyTmTlC
1.0
3.5843 0.0000 0.0000
-1.7922 3.1041 0.0000
0.0000 0.0000 16.1865
C Dy Tl Tm
2 2 2 2
Direct
0.0000 0.0000 0.0000
0.0000 0.0000 0.5000
0.3333 0.6667 0.0840
0.6667 0.3333 0.9160
0.6667 0.3333 0.2522
0.3333 0.6667 0.7478
0.3333 0.6667 0.4185
0.6667 0.3333 0.5815
```

## Properties
SG: P-3m1 (164)
Magnetic moment, μB/atom: 0.03
VASP energy, eV per atom: -5.56